Entry 1:
# Ca4TiMn3O10

Crystalline Ca4TiMn3O10 at its relaxed geometry (PBE+U, Alexandria).

Symmetry: P1, No. 1

Geometry as POSCAR:
```
Ca4TiMn3O10
1.0
7.792 0.000 0.000
0.034 7.813 0.000
0.036 0.054 8.089
Ca Ti Mn O
8 2 6 20
Direct
0.000 0.000 0.000
0.000 0.043 0.588
0.506 0.995 0.990
0.546 0.473 0.606
0.549 0.489 0.081
0.564 0.017 0.579
0.988 0.478 0.613
0.993 0.510 0.035
0.258 0.826 0.278
0.271 0.256 0.281
0.260 0.268 0.816
0.260 0.758 0.751
0.757 0.248 0.830
0.761 0.744 0.793
0.773 0.247 0.319
0.816 0.742 0.331
0.006 0.721 0.828
0.014 0.284 0.841
0.045 0.759 0.200
0.084 0.276 0.413
0.228 0.018 0.821
0.261 0.042 0.176
0.261 0.861 0.498
0.265 0.392 0.099
0.272 0.492 0.707
0.456 0.748 0.190
0.480 0.278 0.379
0.502 0.224 0.797
0.517 0.786 0.788
0.729 0.506 0.861
0.738 0.196 0.064
0.764 0.676 0.549
0.773 0.271 0.590
0.788 0.514 0.247
0.790 0.991 0.793
0.795 0.982 0.379
```

=====

Entry 2:
# Ca8Ti3Mn5O23

Crystalline Ca8Ti3Mn5O23 at its relaxed geometry (PBE+U, Alexandria).

Symmetry: Pmm2, No. 25

Geometry as POSCAR:
```
Ca8Ti3Mn5O23
1.0
7.680 0.000 0.000
0.000 7.682 0.000
0.000 0.000 7.762
Ca Ti Mn O
8 3 5 23
Direct
0.231 0.247 0.000
0.231 0.753 0.000
0.232 0.229 0.496
0.232 0.771 0.496
0.768 0.229 0.496
0.768 0.771 0.496
0.769 0.247 0.000
0.769 0.753 0.000
0.500 0.000 0.217
0.500 0.500 0.255
0.500 0.500 0.732
0.000 0.000 0.240
0.000 0.000 0.744
0.000 0.500 0.253
0.000 0.500 0.758
0.500 0.000 0.725
0.000 0.000 0.490
0.000 0.000 0.992
0.000 0.249 0.252
0.000 0.251 0.746
0.000 0.500 0.010
0.000 0.500 0.507
0.000 0.749 0.746
0.000 0.751 0.252
0.249 0.000 0.237
0.250 0.000 0.721
0.250 0.500 0.249
0.288 0.500 0.839
0.500 0.000 0.468
0.500 0.000 0.969
0.500 0.248 0.709
0.500 0.262 0.179
0.500 0.500 0.487
0.500 0.738 0.179
0.500 0.752 0.709
0.712 0.500 0.839
0.750 0.000 0.721
0.750 0.500 0.249
0.751 0.000 0.237
```

=====

Entry 3:
# CaTi2MnO6

Crystalline CaTi2MnO6 at its relaxed geometry (PBE+U, Alexandria).

Symmetry: P4_2mc, No. 105

Geometry as POSCAR:
```
CaTi2MnO6
1.0
7.580 0.000 0.000
0.000 7.580 0.000
0.000 0.000 7.750
Ca Ti Mn O
4 8 4 24
Direct
0.000 0.000 0.000
0.000 0.000 0.500
0.500 0.500 0.052
0.500 0.500 0.552
0.244 0.259 0.287
0.244 0.741 0.287
0.259 0.244 0.787
0.259 0.756 0.787
0.741 0.244 0.787
0.741 0.756 0.787
0.756 0.259 0.287
0.756 0.741 0.287
0.000 0.500 0.021
0.000 0.500 0.587
0.500 0.000 0.087
0.500 0.000 0.521
0.000 0.195 0.235
0.000 0.298 0.828
0.000 0.702 0.828
0.000 0.805 0.235
0.195 0.000 0.735
0.197 0.303 0.517
0.197 0.697 0.517
0.210 0.500 0.201
0.298 0.000 0.328
0.303 0.197 0.017
0.303 0.803 0.017
0.304 0.500 0.804
0.500 0.210 0.701
0.500 0.304 0.304
0.500 0.696 0.304
0.500 0.790 0.701
0.696 0.500 0.804
0.697 0.197 0.017
0.697 0.803 0.017
0.702 0.000 0.328
0.790 0.500 0.201
0.803 0.303 0.517
0.803 0.697 0.517
0.805 0.000 0.735
```

=====

Entry 4:
# Ca4TiMn3O12

Crystalline Ca4TiMn3O12 at its relaxed geometry (PBE+U, Alexandria).

Symmetry: P4/mmm, No. 123
Energy above the lowest structure with this stoichiometry (eV per atom): 0.071

Geometry as POSCAR:
```
Ca4TiMn3O12
1.0
7.640 0.000 0.000
0.000 7.640 0.000
0.000 0.000 3.836
Ca Ti Mn O
4 1 3 12
Direct
0.245 0.245 0.000
0.245 0.755 0.000
0.755 0.245 0.000
0.755 0.755 0.000
0.500 0.500 0.500
0.000 0.000 0.500
0.000 0.500 0.500
0.500 0.000 0.500
0.000 0.000 0.000
0.000 0.250 0.500
0.000 0.500 0.000
0.000 0.750 0.500
0.246 0.500 0.500
0.250 0.000 0.500
0.500 0.000 0.000
0.500 0.246 0.500
0.500 0.500 0.000
0.500 0.754 0.500
0.750 0.000 0.500
0.754 0.500 0.500
```

=====

Entry 5:
# Ca2TiMnO6

Crystalline Ca2TiMnO6 at its relaxed geometry (PBE+U, Alexandria).

Symmetry: I4/m, No. 87
Energy above the lowest structure with this stoichiometry (eV per atom): 0.015

Geometry as POSCAR:
```
Ca2TiMnO6
1.0
-2.679 2.679 3.872
2.679 -2.679 3.872
2.679 2.679 -3.872
Ca Ti Mn O
2 1 1 6
Direct
0.250 0.750 0.500
0.750 0.250 0.500
0.000 0.000 0.000
0.500 0.500 0.000
0.197 0.692 0.890
0.253 0.253 0.000
0.308 0.197 0.505
0.692 0.803 0.495
0.747 0.747 0.000
0.803 0.308 0.110
```

=====

Entry 6:
# Ca2TiMnO5

Crystalline Ca2TiMnO5 at its relaxed geometry (PBE+U, Alexandria).

Symmetry: Cmc2_1, No. 36

Geometry as POSCAR:
```
Ca2TiMnO5
1.0
1.599 -6.476 0.000
1.599 6.476 0.000
0.000 0.000 11.228
Ca Ti Mn O
4 2 2 10
Direct
0.079 0.921 0.500
0.145 0.855 0.107
0.855 0.145 0.607
0.921 0.079 0.000
0.236 0.764 0.857
0.764 0.236 0.357
0.461 0.539 0.283
0.539 0.461 0.783
0.085 0.915 0.890
0.258 0.742 0.488
0.280 0.720 0.251
0.380 0.620 0.852
0.490 0.510 0.612
0.510 0.490 0.112
0.620 0.380 0.352
0.720 0.280 0.751
0.742 0.258 0.988
0.915 0.085 0.390
```

=====

Entry 7:
# Ca8Ti3Mn5O24

Crystalline Ca8Ti3Mn5O24 at its relaxed geometry (PBE+U, Alexandria).

Symmetry: P4/mmm, No. 123

Geometry as POSCAR:
```
Ca8Ti3Mn5O24
1.0
7.683 0.000 0.000
0.000 7.683 0.000
0.000 0.000 7.650
Ca Ti Mn O
8 3 5 24
Direct
0.248 0.248 0.242
0.248 0.248 0.758
0.248 0.752 0.242
0.248 0.752 0.758
0.752 0.248 0.242
0.752 0.248 0.758
0.752 0.752 0.242
0.752 0.752 0.758
0.000 0.500 0.500
0.500 0.000 0.500
0.500 0.500 0.500
0.000 0.000 0.000
0.000 0.000 0.500
0.000 0.500 0.000
0.500 0.000 0.000
0.500 0.500 0.000
0.000 0.000 0.250
0.000 0.000 0.750
0.000 0.247 0.500
0.000 0.250 0.000
0.000 0.500 0.246
0.000 0.500 0.754
0.000 0.750 0.000
0.000 0.753 0.500
0.247 0.000 0.500
0.250 0.000 0.000
0.250 0.500 0.000
0.250 0.500 0.500
0.500 0.000 0.246
0.500 0.000 0.754
0.500 0.250 0.000
0.500 0.250 0.500
0.500 0.500 0.246
0.500 0.500 0.754
0.500 0.750 0.000
0.500 0.750 0.500
0.750 0.000 0.000
0.750 0.500 0.000
0.750 0.500 0.500
0.753 0.000 0.500
```

=====

Entry 8:
# Ca2TiMnO6

Crystalline Ca2TiMnO6 at its relaxed geometry (PBE+U, Alexandria).

Symmetry: P2_1/c, No. 14
Energy above the lowest structure with this stoichiometry (eV per atom): 0.000

Geometry as POSCAR:
```
Ca2TiMnO6
1.0
5.366 0.000 0.000
0.000 5.435 0.000
-5.356 0.000 7.619
Ca Ti Mn O
4 2 2 12
Direct
0.241 0.040 0.249
0.241 0.460 0.749
0.759 0.540 0.251
0.759 0.960 0.751
0.500 0.000 0.000
0.500 0.500 0.500
0.000 0.000 0.500
0.000 0.500 0.000
0.170 0.214 0.962
0.170 0.286 0.462
0.248 0.709 0.961
0.248 0.791 0.461
0.321 0.016 0.747
0.321 0.484 0.247
0.679 0.516 0.753
0.679 0.984 0.253
0.752 0.209 0.539
0.752 0.291 0.039
0.830 0.714 0.538
0.830 0.786 0.038
```

=====

Entry 9:
# Ca4TiMn3O12

Crystalline Ca4TiMn3O12 at its relaxed geometry (PBE+U, Alexandria).

Symmetry: Pm, No. 6
Energy above the lowest structure with this stoichiometry (eV per atom): 0.000

Geometry as POSCAR:
```
Ca4TiMn3O12
1.0
5.352 0.000 0.000
0.000 15.189 0.000
-0.001 0.000 10.859
Ca Ti Mn O
16 4 12 48
Direct
0.000 0.000 0.000
0.001 0.500 0.002
0.479 0.000 0.750
0.480 0.500 0.251
0.481 0.500 0.756
0.482 0.000 0.249
0.498 0.247 0.295
0.498 0.753 0.295
0.500 0.250 0.797
0.500 0.750 0.797
0.980 0.248 0.046
0.980 0.248 0.548
0.980 0.752 0.046
0.980 0.752 0.548
0.996 0.500 0.507
0.998 0.000 0.500
0.489 0.374 0.526
0.489 0.626 0.526
0.987 0.374 0.274
0.987 0.626 0.274
0.487 0.375 0.023
0.487 0.625 0.023
0.488 0.124 0.523
0.488 0.876 0.523
0.490 0.125 0.023
0.490 0.875 0.023
0.987 0.374 0.777
0.987 0.626 0.777
0.989 0.125 0.774
0.989 0.875 0.774
0.992 0.124 0.273
0.992 0.876 0.273
0.064 0.247 0.266
0.064 0.753 0.266
0.071 0.249 0.764
0.071 0.751 0.764
0.195 0.103 0.628
0.195 0.897 0.628
0.196 0.393 0.633
0.196 0.607 0.633
0.198 0.103 0.128
0.198 0.897 0.128
0.204 0.394 0.128
0.204 0.606 0.128
0.281 0.393 0.381
0.281 0.607 0.381
0.283 0.104 0.878
0.283 0.896 0.878
0.284 0.103 0.378
0.284 0.897 0.378
0.286 0.395 0.878
0.286 0.605 0.878
0.408 0.249 0.013
0.408 0.751 0.013
0.416 0.247 0.516
0.416 0.753 0.516
0.562 0.500 0.534
0.570 0.500 0.034
0.571 0.000 0.033
0.572 0.000 0.535
0.696 0.146 0.670
0.696 0.356 0.167
0.696 0.644 0.167
0.696 0.854 0.670
0.698 0.146 0.168
0.698 0.854 0.168
0.704 0.356 0.672
0.704 0.644 0.672
0.781 0.355 0.419
0.781 0.645 0.419
0.782 0.145 0.419
0.782 0.855 0.419
0.783 0.146 0.919
0.783 0.854 0.919
0.787 0.354 0.922
0.787 0.646 0.922
0.907 0.000 0.283
0.908 0.000 0.784
0.909 0.500 0.787
0.918 0.500 0.283
```

=====

Entry 10:
# Ca8Ti2Mn6O23

Crystalline Ca8Ti2Mn6O23 at its relaxed geometry (PBE+U, Alexandria).

Symmetry: Pmm2, No. 25

Geometry as POSCAR:
```
Ca8Ti2Mn6O23
1.0
7.641 0.000 0.000
0.000 7.644 0.000
0.000 0.000 7.747
Ca Ti Mn O
8 2 6 23
Direct
0.231 0.247 0.000
0.231 0.753 0.000
0.236 0.239 0.509
0.236 0.761 0.509
0.764 0.239 0.509
0.764 0.761 0.509
0.769 0.247 0.000
0.769 0.753 0.000
0.500 0.000 0.225
0.500 0.500 0.253
0.000 0.000 0.243
0.000 0.000 0.744
0.000 0.500 0.247
0.000 0.500 0.755
0.500 0.000 0.735
0.500 0.500 0.740
0.000 0.000 0.490
0.000 0.000 0.990
0.000 0.249 0.245
0.000 0.250 0.740
0.000 0.500 0.000
0.000 0.500 0.501
0.000 0.750 0.740
0.000 0.751 0.245
0.248 0.000 0.234
0.249 0.000 0.723
0.249 0.500 0.231
0.256 0.500 0.791
0.500 0.000 0.472
0.500 0.000 0.970
0.500 0.250 0.716
0.500 0.261 0.176
0.500 0.500 0.480
0.500 0.739 0.176
0.500 0.750 0.716
0.744 0.500 0.791
0.751 0.000 0.723
0.751 0.500 0.231
0.752 0.000 0.234
```

=====

Mass density values, unit Mg/m³, following the record order: 3.6; 4.0; 4.3; 4.2; 4.2; 3.8; 4.1; 4.2; 4.3; 4.1.
Energy values, unit eV/cell, following the record order: -262.32; -286.89; -332.92; -143.24; -75.13; -136.30; -292.44; -150.57; -578.62; -281.05.